# PBE DyHoAg, relaxed
# total energy	-3.97	eV/atom
# V	355.5	Å³/cell
# symmetry	No. 62
data_DyHoAg
_chemical_formula_sum 'Dy4 Ho4 Ag4'
_cell_length_a 5.021
_cell_length_b 7.056
_cell_length_c 10.036
_cell_angle_alpha 90.00
_cell_angle_beta 90.00
_cell_angle_gamma 90.00
_space_group_name_H-M_alt 'P 1'
_space_group_IT_number 1
loop_
_space_group_symop_operation_xyz
'x,y,z'
loop_
_atom_site_label
_atom_site_type_symbol
_atom_site_fract_x
_atom_site_fract_y
_atom_site_fract_z
Ho1 Ho 0.750 0.000 0.124
Dy1 Dy 0.750 0.500 0.126
Ho2 Ho 0.250 0.000 0.876
Ho3 Ho 0.750 0.500 0.624
Ag1 Ag 0.250 0.251 0.625
Dy2 Dy 0.250 0.500 0.874
Dy3 Dy 0.750 0.000 0.626
Ag2 Ag 0.250 0.249 0.125
Dy4 Dy 0.250 0.000 0.374
Ag3 Ag 0.750 0.749 0.375
Ag4 Ag 0.750 0.751 0.875
Ho4 Ho 0.250 0.500 0.376

=====

# PBE LiCaTe, relaxed
# total energy	-3.12	eV/atom
# V	81.5	Å³/cell
# symmetry	No. 42
data_LiCaTe
_chemical_formula_sum 'Li1 Ca1 Te1'
_cell_length_a 5.957
_cell_length_b 5.958
_cell_length_c 3.934
_cell_angle_alpha 70.70
_cell_angle_beta 70.74
_cell_angle_gamma 38.56
_space_group_name_H-M_alt 'P 1'
_space_group_IT_number 1
loop_
_space_group_symop_operation_xyz
'x,y,z'
loop_
_atom_site_label
_atom_site_type_symbol
_atom_site_fract_x
_atom_site_fract_y
_atom_site_fract_z
Te1 Te 0.688 0.688 0.312
Li1 Li 0.300 0.300 0.700
Ca1 Ca 0.012 0.012 0.988

=====

# PBE Dy3US4, relaxed
# total energy	-7.04	eV/atom
# V	167.1	Å³/cell
# symmetry	No. 166
data_Dy3US4
_chemical_formula_sum 'Dy3 U1 S4'
_cell_length_a 3.880
_cell_length_b 3.880
_cell_length_c 13.016
_cell_angle_alpha 81.43
_cell_angle_beta 81.43
_cell_angle_gamma 60.00
_space_group_name_H-M_alt 'P 1'
_space_group_IT_number 1
loop_
_space_group_symop_operation_xyz
'x,y,z'
loop_
_atom_site_label
_atom_site_type_symbol
_atom_site_fract_x
_atom_site_fract_y
_atom_site_fract_z
S1 S 0.125 0.125 0.625
S2 S 0.875 0.875 0.375
Dy1 Dy 0.749 0.749 0.754
Dy2 Dy 0.500 0.500 0.500
S3 S 0.625 0.625 0.125
Dy3 Dy 0.251 0.251 0.246
S4 S 0.375 0.375 0.875
U1 U 0.000 0.000 0.000

=====

# PBE LiScTc, relaxed
# total energy	-6.04	eV/atom
# V	49.2	Å³/cell
# symmetry	No. 44
data_LiScTc
_chemical_formula_sum 'Li1 Sc1 Tc1'
_cell_length_a 4.965
_cell_length_b 4.965
_cell_length_c 4.965
_cell_angle_alpha 148.62
_cell_angle_beta 128.79
_cell_angle_gamma 61.30
_space_group_name_H-M_alt 'P 1'
_space_group_IT_number 1
loop_
_space_group_symop_operation_xyz
'x,y,z'
loop_
_atom_site_label
_atom_site_type_symbol
_atom_site_fract_x
_atom_site_fract_y
_atom_site_fract_z
Tc1 Tc 0.668 0.668 0.000
Sc1 Sc 0.327 0.327 0.000
Li1 Li 0.005 0.005 0.000

=====

# PBE Li2NiMo, relaxed
# total energy	-4.96	eV/atom
# V	58.7	Å³/cell
# symmetry	No. 99
data_Li2NiMo
_chemical_formula_sum 'Li2 Ni1 Mo1'
_cell_length_a 2.675
_cell_length_b 2.675
_cell_length_c 8.194
_cell_angle_alpha 90.00
_cell_angle_beta 90.00
_cell_angle_gamma 90.00
_space_group_name_H-M_alt 'P 1'
_space_group_IT_number 1
loop_
_space_group_symop_operation_xyz
'x,y,z'
loop_
_atom_site_label
_atom_site_type_symbol
_atom_site_fract_x
_atom_site_fract_y
_atom_site_fract_z
Li1 Li 0.000 0.000 0.960
Li2 Li 0.500 0.500 0.255
Ni1 Ni 0.500 0.500 0.749
Mo1 Mo 0.000 0.000 0.537

=====

# PBE Ca2FeAs, relaxed
# total energy	-4.65	eV/atom
# V	97.3	Å³/cell
# symmetry	No. 38
data_Ca2FeAs
_chemical_formula_sum 'Ca2 Fe1 As1'
_cell_length_a 4.150
_cell_length_b 4.228
_cell_length_c 5.935
_cell_angle_alpha 69.16
_cell_angle_beta 90.00
_cell_angle_gamma 90.00
_space_group_name_H-M_alt 'P 1'
_space_group_IT_number 1
loop_
_space_group_symop_operation_xyz
'x,y,z'
loop_
_atom_site_label
_atom_site_type_symbol
_atom_site_fract_x
_atom_site_fract_y
_atom_site_fract_z
Ca1 Ca 0.500 0.269 0.337
Fe1 Fe 0.000 0.683 0.509
As1 As 0.500 0.565 0.745
Ca2 Ca 0.000 0.983 0.909

=====

# PBE LaSc2TiH, relaxed
# total energy	-5.79	eV/atom
# V	99.8	Å³/cell
# symmetry	No. 123
data_LaSc2TiH
_chemical_formula_sum 'La1 Sc2 Ti1 H1'
_cell_length_a 4.578
_cell_length_b 4.578
_cell_length_c 4.761
_cell_angle_alpha 90.00
_cell_angle_beta 90.00
_cell_angle_gamma 90.00
_space_group_name_H-M_alt 'P 1'
_space_group_IT_number 1
loop_
_space_group_symop_operation_xyz
'x,y,z'
loop_
_atom_site_label
_atom_site_type_symbol
_atom_site_fract_x
_atom_site_fract_y
_atom_site_fract_z
La1 La 0.000 0.000 0.500
Sc1 Sc 0.000 0.500 0.000
Ti1 Ti 0.500 0.500 0.500
H1 H 0.000 0.000 0.000
Sc2 Sc 0.500 0.000 0.000

=====

# PBE LiPm3Tl, relaxed
# total energy	-3.85	eV/atom
# V	295.3	Å³/cell
# symmetry	No. 63
data_LiPm3Tl
_chemical_formula_sum 'Li2 Pm6 Tl2'
_cell_length_a 5.231
_cell_length_b 5.238
_cell_length_c 11.090
_cell_angle_alpha 90.00
_cell_angle_beta 76.36
_cell_angle_gamma 90.00
_space_group_name_H-M_alt 'P 1'
_space_group_IT_number 1
loop_
_space_group_symop_operation_xyz
'x,y,z'
loop_
_atom_site_label
_atom_site_type_symbol
_atom_site_fract_x
_atom_site_fract_y
_atom_site_fract_z
Pm1 Pm 0.267 0.750 0.114
Tl1 Tl 0.667 0.750 0.313
Pm2 Pm 0.381 0.250 0.886
Li1 Li 0.171 0.250 0.306
Pm3 Pm 0.075 0.750 0.497
Pm4 Pm 0.762 0.250 0.124
Li2 Li 0.477 0.750 0.694
Pm5 Pm 0.573 0.250 0.503
Tl2 Tl 0.981 0.250 0.687
Pm6 Pm 0.886 0.750 0.876

=====

# PBE Na2AgPt, relaxed
# total energy	-2.99	eV/atom
# V	175.1	Å³/cell
# symmetry	No. 12
data_Na2AgPt
_chemical_formula_sum 'Na4 Ag2 Pt2'
_cell_length_a 4.696
_cell_length_b 5.729
_cell_length_c 7.529
_cell_angle_alpha 78.82
_cell_angle_beta 71.83
_cell_angle_gamma 65.80
_space_group_name_H-M_alt 'P 1'
_space_group_IT_number 1
loop_
_space_group_symop_operation_xyz
'x,y,z'
loop_
_atom_site_label
_atom_site_type_symbol
_atom_site_fract_x
_atom_site_fract_y
_atom_site_fract_z
Na1 Na 0.418 0.423 0.740
Na2 Na 0.217 0.256 0.309
Pt1 Pt 0.578 0.900 0.945
Ag1 Ag 0.497 0.690 0.317
Ag2 Ag 0.139 0.990 0.732
Na3 Na 0.818 0.839 0.525
Na4 Na 0.818 0.340 0.025
Pt2 Pt 0.058 0.779 0.105

=====

# PBE TlPdF3, relaxed
# total energy	-3.77	eV/atom
# V	184.1	Å³/cell
# symmetry	No. 194
data_TlPdF3
_chemical_formula_sum 'Tl2 Pd2 F6'
_cell_length_a 4.003
_cell_length_b 4.003
_cell_length_c 13.265
_cell_angle_alpha 90.00
_cell_angle_beta 90.00
_cell_angle_gamma 120.00
_space_group_name_H-M_alt 'P 1'
_space_group_IT_number 1
loop_
_space_group_symop_operation_xyz
'x,y,z'
loop_
_atom_site_label
_atom_site_type_symbol
_atom_site_fract_x
_atom_site_fract_y
_atom_site_fract_z
Tl1 Tl 0.667 0.333 0.250
F1 F 0.333 0.667 0.559
Tl2 Tl 0.333 0.667 0.750
F2 F 0.667 0.333 0.059
F3 F 0.000 0.000 0.250
Pd1 Pd 0.000 0.000 0.500
F4 F 0.000 0.000 0.750
F5 F 0.333 0.667 0.941
F6 F 0.667 0.333 0.441
Pd2 Pd 0.000 0.000 0.000

=====

# PBE KSrCu, relaxed
# total energy	-2.08	eV/atom
# V	130.9	Å³/cell
# symmetry	No. 156
data_KSrCu
_chemical_formula_sum 'K1 Sr1 Cu1'
_cell_length_a 4.420
_cell_length_b 4.420
_cell_length_c 7.734
_cell_angle_alpha 90.00
_cell_angle_beta 90.00
_cell_angle_gamma 120.00
_space_group_name_H-M_alt 'P 1'
_space_group_IT_number 1
loop_
_space_group_symop_operation_xyz
'x,y,z'
loop_
_atom_site_label
_atom_site_type_symbol
_atom_site_fract_x
_atom_site_fract_y
_atom_site_fract_z
Cu1 Cu 0.000 0.000 0.980
Sr1 Sr 0.333 0.667 0.761
K1 K 0.667 0.333 0.259

=====

# PBE ScRh2Se, relaxed
# total energy	-6.52	eV/atom
# V	66.4	Å³/cell
# symmetry	No. 99
data_ScRh2Se
_chemical_formula_sum 'Sc1 Rh2 Se1'
_cell_length_a 3.155
_cell_length_b 3.155
_cell_length_c 6.676
_cell_angle_alpha 90.00
_cell_angle_beta 90.00
_cell_angle_gamma 89.99
_space_group_name_H-M_alt 'P 1'
_space_group_IT_number 1
loop_
_space_group_symop_operation_xyz
'x,y,z'
loop_
_atom_site_label
_atom_site_type_symbol
_atom_site_fract_x
_atom_site_fract_y
_atom_site_fract_z
Se1 Se 0.500 0.500 0.780
Rh1 Rh 0.500 0.500 0.250
Rh2 Rh 0.000 0.000 0.984
Sc1 Sc 0.000 0.000 0.485

=====

# PBE PrCu4Sn4, relaxed
# total energy	-4.24	eV/atom
# V	383.9	Å³/cell
# symmetry	No. 137
data_PrCu4Sn4
_chemical_formula_sum 'Pr2 Cu8 Sn8'
_cell_length_a 6.706
_cell_length_b 6.706
_cell_length_c 8.537
_cell_angle_alpha 90.00
_cell_angle_beta 90.00
_cell_angle_gamma 90.00
_space_group_name_H-M_alt 'P 1'
_space_group_IT_number 1
loop_
_space_group_symop_operation_xyz
'x,y,z'
loop_
_atom_site_label
_atom_site_type_symbol
_atom_site_fract_x
_atom_site_fract_y
_atom_site_fract_z
Cu1 Cu 0.500 0.184 0.147
Cu2 Cu 0.000 0.316 0.353
Sn1 Sn 0.251 0.000 0.347
Pr1 Pr 0.000 0.000 0.000
Cu3 Cu 0.316 0.000 0.647
Sn2 Sn 0.500 0.751 0.847
Pr2 Pr 0.500 0.500 0.500
Sn3 Sn 0.751 0.500 0.153
Sn4 Sn 0.749 0.000 0.347
Cu4 Cu 0.500 0.816 0.147
Cu5 Cu 0.000 0.684 0.353
Cu6 Cu 0.184 0.500 0.853
Sn5 Sn 0.500 0.249 0.847
Cu7 Cu 0.684 0.000 0.647
Sn6 Sn 0.000 0.749 0.653
Sn7 Sn 0.000 0.251 0.653
Cu8 Cu 0.816 0.500 0.853
Sn8 Sn 0.249 0.500 0.153

=====

So what do the calculations give for total magnetic moment? Going down the list: 0.0, 0.0, 2.6, 0.0, 0.0, 2.7, 0.0, 0.1, 0.0, 3.1, 0.0, 0.0, 0.0 Bohr magnetons per cell.